1.
DFT (PBE) results for a relaxed structure of AcZn2InPt.

ΔH_f (0 K) ... -0.58 eV/atom
Uncorrected energy ... -3.668 eV per atom

Cell lengths 4.2197, 4.3803, 12.1618 Å; angles 90.00, 90.00, 90.00 degrees
Space group Imm2 (No. 44)
One atom of each set of equivalent atoms:
1 Ac 0.0000 0.0000 0.0000 (multiplicity 2)
2 Zn 0.0000 0.0000 0.6173 (multiplicity 2)
3 Zn 0.0000 0.5000 0.2620 (multiplicity 2)
4 In 0.0000 0.5000 0.7544 (multiplicity 2)
5 Pt 0.0000 0.0000 0.4050 (multiplicity 2)


2.
DFT (PBE) results for a relaxed structure of GaBr3N.

Uncorrected energy ... -2.579 eV per atom
E_form (uncorrected) ... 0.695 eV/atom

Cell lengths 5.2010, 5.2010, 5.2010 Å; angles 90.00, 90.00, 90.00 degrees
Space group Pm-3m (No. 221)
One atom of each set of equivalent atoms:
1 Ga 0.0000 0.0000 0.0000 (multiplicity 1)
2 Br 0.0000 0.0000 0.5000 (multiplicity 3)
3 N 0.5000 0.5000 0.5000 (multiplicity 1)


3.
DFT (PBE) results for a relaxed structure of TaCd.

ΔH_f (0 K) ... 0.76 eV/atom
Uncorrected energy ... -5.623 eV per atom

Cell lengths 4.5720, 8.7267, 16.5954 Å; angles 90.00, 90.00, 90.00 degrees
Space group Fddd (No. 70, origin choice 2)
One atom of each set of equivalent atoms:
1 Ta 0.1250 0.1250 0.0385 (multiplicity 16)
2 Cd 0.1250 0.2874 0.6250 (multiplicity 16)


Number 1: D(E_F) 0.6176 states/eV/atom. Number 2: D(E_F) 0.6382 states/eV/atom. Number 3: D(E_F) 0.9089 states/eV/atom.